{
  "formula": "Tl2GeAuSe4",
  "functional": "PBE-GGA",
  "state": "relaxed",
  "e_tot_ev_per_atom": -3.515,
  "vol_a3_per_atom": 31.059,
  "formation_energy_uncorrected_ev_per_atom": -0.194,
  "lattice_angstrom": [[6.800, 0.000, 0.000], [3.400, 6.708, 0.000], [3.400, 0.000, 10.894]],
  "species": ["Se", "Se", "Se", "Se", "Se", "Se", "Se", "Se", "Tl", "Tl", "Tl", "Tl", "Au", "Au", "Ge", "Ge"],
  "frac_coords": [[0.226, 0.212, 0.891], [0.524, 0.288, 0.609], [0.328, 0.788, 0.109], [0.422, 0.712, 0.391], [0.562, 0.212, 0.109], [0.883, 0.788, 0.891], [0.867, 0.712, 0.609], [0.188, 0.288, 0.391], [0.812, 0.000, 0.375], [0.938, 0.500, 0.125], [0.562, 0.500, 0.875], [0.188, 0.000, 0.625], [0.750, 0.500, 0.500], [0.000, 0.000, 0.000], [0.250, 0.500, 0.500], [0.500, 0.000, 0.000]]
}